P | # Pd2PbAu2

Pd2PbAu2 after structural relaxation (PBE-GGA, the Alexandria database).

Cell: 5.493 4.787 4.276 Å, 63.65 66.93 85.02°
Positions (direct):
Pd 0.201 0.899 0.201
Pd 0.799 0.101 0.799
Au 0.405 0.292 0.402
Au 0.595 0.708 0.598
Pb 0.000 0.500 0.000

Properties
The total moment comes out at 0.000 μB per atom. The space group is P-1, No. 2.

Q | # Pd2PbAu2

Pd2PbAu2 after structural relaxation (PBE-GGA, the Alexandria database).

Cell: 7.219 7.219 3.725 Å, 90.00 90.00 90.00°
Positions (direct):
Au 0.344 0.156 0.500
Au 0.656 0.844 0.500
Au 0.156 0.656 0.500
Au 0.844 0.344 0.500
Pd 0.638 0.138 0.000
Pd 0.138 0.362 0.000
Pd 0.862 0.638 0.000
Pd 0.362 0.862 0.000
Pb 0.000 0.000 0.000
Pb 0.500 0.500 0.000

Properties
The total moment comes out at 0.000 μB per atom. The space group is P4/mbm, No. 127.

Most favorable structure: P. The second most favorable one is 0.047 eV/atom above it.